[1]
# Sc2TcNi2

A relaxed structure of Sc2TcNi2 (PBE, the Alexandria database).

Properties
magnetization = 0.000 μB/cell
electronic total energy = -7.17 eV/atom

a = 6.4843 Å, b = 6.4843 Å, c = 3.7992 Å
α = 90.00°, β = 90.00°, γ = 90.00°
Last column: nearest neighbours and their distance in Å.
Space group P4/mbm (No. 127)
Asymmetric unit:
Sc: 0.1786 0.3214 0.0000 x4  6 Ni 2.61-2.76
Tc: 0.0000 0.0000 0.5000 x2  4 Ni 2.56
Ni: 0.1266 0.6266 0.5000 x4  1 Ni 2.32, 2 Tc 2.56

=====

[2]
# NaGaGe2Se6

A relaxed structure of NaGaGe2Se6 (PBE, the Alexandria database).

Properties
magnetization = 0.000 μB/cell
formation energy (no corrections) = -405 meV per atom

a = 13.5747 Å, b = 12.9795 Å, c = 7.1738 Å
α = 90.00°, β = 113.30°, γ = 90.00°
Last column: nearest neighbours and their distance in Å.
Space group C2/c (No. 15)
Asymmetric unit:
Na: 0.0000 0.1369 0.2500 x4  6 Se 2.90-3.20
Ga: 0.0000 0.2068 0.7500 x4  4 Se 2.44-2.51
Ge: 0.2016 0.4247 0.1889 x8  4 Se 2.40-2.45
Se: 0.1060 0.0686 0.6675 x8  1 Ge 2.40, 1 Ga 2.51
Se: 0.1314 0.4357 0.4550 x8  2 Ge 2.40-2.45
Se: 0.1331 0.2538 0.0833 x8  1 Ge 2.41, 1 Ga 2.44

=====

[3]
# V2CoRe

A relaxed structure of V2CoRe (PBE, the Alexandria database).

Properties
magnetization = 6.618 μB/cell
energy above the lowest structure with this stoichiometry = 2 meV per atom

a = 5.9504 Å, b = 5.9504 Å, c = 5.9504 Å
α = 90.00°, β = 90.00°, γ = 90.00°
Last column: nearest neighbours and their distance in Å.
Space group Fm-3m (No. 225)
Asymmetric unit:
V: 0.2500 0.2500 0.2500 x8  4 Re 2.58, 4 Co 2.58
Co: 0.0000 0.0000 0.0000 x4  8 V 2.58
Re: 0.0000 0.0000 0.5000 x4  8 V 2.58